DFT (GGA-PBEsol) results for an optimized crystal structure of Ag2BiO3.

a b c (Å): 6.048 6.240 9.568
angles (deg): 90.00 90.00 90.00
Fractional positions:
Ag (0.028, 0.244, 0.000)
Ag (0.247, 0.500, 0.742)
Ag (0.253, 0.000, 0.242)
Ag (0.472, 0.744, 0.500)
Ag (0.528, 0.256, 0.500)
Ag (0.747, 0.000, 0.242)
Ag (0.753, 0.500, 0.742)
Ag (0.972, 0.756, 0.000)
Bi (0.000, 0.000, 0.643)
Bi (0.000, 0.500, 0.352)
Bi (0.500, 0.000, 0.852)
Bi (0.500, 0.500, 0.143)
O (0.114, 0.781, 0.488)
O (0.176, 0.813, 0.805)
O (0.195, 0.684, 0.178)
O (0.305, 0.184, 0.678)
O (0.324, 0.313, 0.305)
O (0.386, 0.281, 0.988)
O (0.614, 0.719, 0.988)
O (0.676, 0.687, 0.305)
O (0.695, 0.816, 0.678)
O (0.805, 0.316, 0.178)
O (0.824, 0.187, 0.805)
O (0.886, 0.219, 0.488)

ρ, g/cm3: 8.695
E_tot, eV/atom: -5.004
Formation energy from raw total energies, eV per atom: -0.562